#P
The following is a DFT calculation (PBE) of CuTcMo2H after structural relaxation.

Computed properties:
Its spin magnetization is 0.00 Bohr magnetons per cell. The density of states at the Fermi level is 3.19 states/eV/cell. The space group is P4/mmm, No. 123.

Cell: 3.9511 3.9511 3.8967 Å, 90.00 90.00 90.00°
Last column: nearest neighbours and their distance in Å.
Fractional positions:
Cu1 0.0000 0.0000 0.0000  8 Mo 2.77, 4 Tc 2.79
Tc1 0.5000 0.5000 0.0000  2 H 1.95
Mo1 0.0000 0.5000 0.5000  2 H 1.98
Mo2 0.5000 0.0000 0.5000  2 H 1.98
H1 0.5000 0.5000 0.5000  2 Tc 1.95, 4 Mo 1.98

=====

#Q
The following is a DFT calculation (PBE) of CuTcMo2H after structural relaxation.

Computed properties:
Its spin magnetization is 0.00 Bohr magnetons per cell. The density of states at the Fermi level is 2.55 states/eV/cell. The space group is P4/mmm, No. 123.

Cell: 3.9737 3.9737 3.8266 Å, 90.00 90.00 90.00°
Last column: nearest neighbours and their distance in Å.
Fractional positions:
Cu1 0.0000 0.0000 0.0000  2 H 1.91
Tc1 0.5000 0.5000 0.0000  8 Mo 2.76, 4 Cu 2.81
Mo1 0.0000 0.5000 0.5000  2 H 1.99
Mo2 0.5000 0.0000 0.5000  2 H 1.99
H1 0.0000 0.0000 0.5000  2 Cu 1.91, 4 Mo 1.99

=====

Going by the energies, #P is most stable and the next is 0.005 eV/atom up.

=====

#P
The following is a DFT calculation (PBE) of Zr2CuMoH after structural relaxation.

Computed properties:
Its spin magnetization is 0.00 Bohr magnetons per cell. The density of states at the Fermi level is 1.81 states/eV/cell. The space group is P4/mmm, No. 123.

Cell: 4.6112 4.6112 3.5762 Å, 90.00 90.00 90.00°
Last column: nearest neighbours and their distance in Å.
Fractional positions:
Zr1 0.0000 0.5000 0.0000  2 H 2.31
Zr2 0.5000 0.0000 0.0000  2 H 2.31
Cu1 0.0000 0.0000 0.5000  8 Zr 2.92, 4 Mo 3.26
Mo1 0.5000 0.5000 0.5000  2 H 1.79
H1 0.5000 0.5000 0.0000  2 Mo 1.79

=====

#Q
The following is a DFT calculation (PBE) of Zr2CuMoH after structural relaxation.

Computed properties:
Its spin magnetization is 0.00 Bohr magnetons per cell. The density of states at the Fermi level is 2.85 states/eV/cell. The space group is P4/mmm, No. 123.

Cell: 4.5955 4.5955 3.5139 Å, 90.00 90.00 90.00°
Last column: nearest neighbours and their distance in Å.
Fractional positions:
Zr1 0.0000 0.5000 0.0000  2 H 2.30
Zr2 0.5000 0.0000 0.0000  2 H 2.30
Cu1 0.0000 0.0000 0.5000  2 H 1.76
Mo1 0.5000 0.5000 0.5000  8 Zr 2.89
H1 0.0000 0.0000 0.0000  2 Cu 1.76

=====

Going by the energies, #Q is most stable and the next is 0.014 eV/atom up.

=====

#P
The following is a DFT calculation (PBE) of CuH2N after structural relaxation.

Computed properties:
Its spin magnetization is 0.00 Bohr magnetons per cell. The density of states at the Fermi level is 0.54 states/eV/cell. The space group is R-3m, No. 166.

Cell: 6.6324 6.6324 6.6324 Å, 20.79 20.79 20.79°
Last column: nearest neighbours and their distance in Å.
Fractional positions:
Cu1 0.0000 0.0000 0.0000  6 Cu 2.39
H1 0.1416 0.1416 0.1416  3 N 1.47
H2 0.8584 0.8584 0.8584  3 N 1.47
N1 0.5000 0.5000 0.5000  6 H 1.47

=====

#Q
The following is a DFT calculation (PBE) of CuH2N after structural relaxation.

Computed properties:
Its spin magnetization is 0.00 Bohr magnetons per cell. The density of states at the Fermi level is 0.78 states/eV/cell. The space group is Fm-3m, No. 225.

Cell: 3.2535 3.2535 3.2535 Å, 60.00 60.00 60.00°
Last column: nearest neighbours and their distance in Å.
Fractional positions:
Cu1 0.0000 0.0000 0.0000  8 H 1.99
H1 0.2500 0.2500 0.2500  4 Cu 1.99, 4 N 1.99
H2 0.7500 0.7500 0.7500  4 N 1.99, 4 Cu 1.99
N1 0.5000 0.5000 0.5000  8 H 1.99

=====

Going by the energies, #P is most stable and the next is 0.241 eV/atom up.

=====

#P
The following is a DFT calculation (PBE) of CuHN2 after structural relaxation.

Computed properties:
Its spin magnetization is 0.00 Bohr magnetons per cell. The density of states at the Fermi level is 1.14 states/eV/cell. The space group is R-3m, No. 166.

Cell: 4.6765 4.6765 4.6765 Å, 37.52 37.52 37.52°
Last column: nearest neighbours and their distance in Å.
Fractional positions:
Cu1 0.0000 0.0000 0.0000  6 N 1.96
H1 0.5000 0.5000 0.5000  2 N 1.25
N1 0.4038 0.4038 0.4038  1 H 1.25
N2 0.5962 0.5962 0.5962  1 H 1.25

=====

#Q
The following is a DFT calculation (PBE) of CuHN2 after structural relaxation.

Computed properties:
Its spin magnetization is 0.00 Bohr magnetons per cell. The density of states at the Fermi level is 3.25 states/eV/cell. The space group is Fm-3m, No. 225.

Cell: 3.4591 3.4591 3.4591 Å, 60.00 60.00 60.00°
Last column: nearest neighbours and their distance in Å.
Fractional positions:
Cu1 0.0000 0.0000 0.0000  8 N 2.12
H1 0.5000 0.5000 0.5000  8 N 2.12
N1 0.2500 0.2500 0.2500  4 H 2.12, 4 Cu 2.12
N2 0.7500 0.7500 0.7500  4 H 2.12, 4 Cu 2.12

=====

#R
The following is a DFT calculation (PBE) of CuHN2 after structural relaxation.

Computed properties:
Its spin magnetization is 0.00 Bohr magnetons per cell. The density of states at the Fermi level is 1.29 states/eV/cell. The space group is R-3m, No. 166.

Cell: 4.7280 4.7280 4.7280 Å, 37.29 37.29 37.29°
Last column: nearest neighbours and their distance in Å.
Fractional positions:
Cu1 0.0000 0.0000 0.0000  2 N 1.89
H1 0.5000 0.5000 0.5000  6 N 1.77
N1 0.1434 0.1434 0.1434  3 H 1.77, 3 N 1.85, 1 Cu 1.89
N2 0.8566 0.8566 0.8566  3 H 1.77, 3 N 1.85, 1 Cu 1.89

=====

Going by the energies, #P is most stable and the next is 0.793 eV/atom up.

=====

#P
The following is a DFT calculation (PBE) of CuHSN2 after structural relaxation.

Computed properties:
Its spin magnetization is 0.00 Bohr magnetons per cell. The density of states at the Fermi level is 2.39 states/eV/cell. The space group is P4/mmm, No. 123.

Cell: 3.7679 3.7679 3.1384 Å, 90.00 90.00 90.00°
Last column: nearest neighbours and their distance in Å.
Fractional positions:
Cu1 0.0000 0.0000 0.0000  8 N 2.45, 4 S 2.66
H1 0.5000 0.5000 0.5000  2 S 1.57
S1 0.5000 0.5000 0.0000  2 H 1.57
N1 0.0000 0.5000 0.5000  2 H 1.88
N2 0.5000 0.0000 0.5000  2 H 1.88

=====

#Q
The following is a DFT calculation (PBE) of CuHSN2 after structural relaxation.

Computed properties:
Its spin magnetization is 4.26 Bohr magnetons per cell. The density of states at the Fermi level is 2.72 states/eV/cell. The space group is P4/mmm, No. 123.

Cell: 3.6643 3.6643 5.2308 Å, 90.00 90.00 90.00°
Last column: nearest neighbours and their distance in Å.
Fractional positions:
Cu1 0.0000 0.0000 0.0000  4 N 1.83
H1 0.5000 0.5000 0.5000  4 S 2.59
S1 0.0000 0.0000 0.5000  4 H 2.59, 2 Cu 2.62
N1 0.0000 0.5000 0.0000  2 Cu 1.83
N2 0.5000 0.0000 0.0000  2 Cu 1.83

=====

Going by the energies, #P is most stable and the next is 0.037 eV/atom up.

=====

#P
The following is a DFT calculation (PBE) of CuHSeN2 after structural relaxation.

Computed properties:
Its spin magnetization is 0.30 Bohr magnetons per cell. The density of states at the Fermi level is 2.65 states/eV/cell. The space group is P4/mmm, No. 123.

Cell: 3.8408 3.8408 3.3218 Å, 90.00 90.00 90.00°
Last column: nearest neighbours and their distance in Å.
Fractional positions:
Cu1 0.0000 0.0000 0.0000  8 N 2.54, 4 Se 2.72
H1 0.5000 0.5000 0.5000  2 Se 1.66
Se1 0.5000 0.5000 0.0000  2 H 1.66
N1 0.0000 0.5000 0.5000  2 H 1.92
N2 0.5000 0.0000 0.5000  2 H 1.92

=====

#Q
The following is a DFT calculation (PBE) of CuHSeN2 after structural relaxation.

Computed properties:
Its spin magnetization is 3.75 Bohr magnetons per cell. The density of states at the Fermi level is 3.19 states/eV/cell. The space group is P4/mmm, No. 123.

Cell: 3.6272 3.6272 5.6725 Å, 90.00 90.00 90.00°
Last column: nearest neighbours and their distance in Å.
Fractional positions:
Cu1 0.0000 0.0000 0.0000  4 N 1.81
H1 0.5000 0.5000 0.5000  4 Se 2.56
Se1 0.0000 0.0000 0.5000  4 H 2.56, 2 Cu 2.84
N1 0.0000 0.5000 0.0000  2 Cu 1.81
N2 0.5000 0.0000 0.0000  2 Cu 1.81

=====

Going by the energies, #Q is most stable and the next is 0.080 eV/atom up.